*A*
Density functional theory data (PBE) for an optimized crystal structure of GeSb2TeC.

a = 5.308 Å, b = 5.308 Å, c = 5.287 Å
α = 90.00°, β = 90.00°, γ = 90.00°
Fractional coordinates of all 5 atoms:
Ge  0.000  0.000  0.000
Sb  0.000  0.500  0.000
Sb  0.500  0.000  0.000
Te  0.000  0.000  0.500
C  0.500  0.500  0.500

Summary:
Density of states at the Fermi level in states/eV per atom: 1.0395
SG: P4/mmm, No. 123
Volume in Å³/f.u.: 148.9
Theoretical density in g/cm³: 5.08

*B*
Density functional theory data (PBE) for an optimized crystal structure of GeSb2TeC.

a = 4.772 Å, b = 4.772 Å, c = 4.880 Å
α = 90.00°, β = 90.00°, γ = 90.00°
Fractional coordinates of all 5 atoms:
Ge  0.000  0.000  0.000
Sb  0.000  0.500  0.500
Sb  0.500  0.000  0.500
Te  0.500  0.500  0.000
C  0.500  0.500  0.500

Summary:
Density of states at the Fermi level in states/eV per atom: 0.5098
SG: P4/mmm, No. 123
Volume in Å³/f.u.: 111.1
Theoretical density in g/cm³: 6.81

Quick one: most stable of them? *B*

*A*
Density functional theory data (PBE) for an optimized crystal structure of Sc2Ge2C.

a = 7.789 Å, b = 7.789 Å, c = 7.789 Å
α = 154.81°, β = 154.81°, γ = 35.92°
Fractional coordinates of all 5 atoms:
Sc  0.089  0.089  0.000
Sc  0.911  0.911  0.000
Ge  0.250  0.750  0.500
Ge  0.750  0.250  0.500
C  0.500  0.500  0.000

Summary:
Density of states at the Fermi level in states/eV per atom: 0.8829
SG: I4/mmm, No. 139
Volume in Å³/f.u.: 85.5
Theoretical density in g/cm³: 4.80

*B*
Density functional theory data (PBE) for an optimized crystal structure of Sc2Ge2C.

a = 5.139 Å, b = 5.139 Å, c = 5.139 Å
α = 116.23°, β = 116.23°, γ = 96.67°
Fractional coordinates of all 5 atoms:
Sc  0.250  0.750  0.500
Sc  0.750  0.250  0.500
Ge  0.216  0.216  0.000
Ge  0.784  0.784  0.000
C  0.500  0.500  0.000

Summary:
Density of states at the Fermi level in states/eV per atom: 0.8160
SG: I4/mmm, No. 139
Volume in Å³/f.u.: 100.7
Theoretical density in g/cm³: 4.08

Quick one: most stable of them? *A*

*A*
Density functional theory data (PBE) for an optimized crystal structure of Sc2Ge2C.

a = 6.281 Å, b = 6.281 Å, c = 4.423 Å
α = 90.00°, β = 90.00°, γ = 90.00°
Fractional coordinates of all 10 atoms:
Sc  0.179  0.321  0.000
Sc  0.321  0.821  0.000
Sc  0.679  0.179  0.000
Sc  0.821  0.679  0.000
Ge  0.141  0.641  0.500
Ge  0.359  0.141  0.500
Ge  0.641  0.859  0.500
Ge  0.859  0.359  0.500
C  0.000  0.000  0.000
C  0.500  0.500  0.000

Summary:
Density of states at the Fermi level in states/eV per atom: 0.2949
SG: P4/mbm, No. 127
Volume in Å³/f.u.: 87.3
Theoretical density in g/cm³: 4.70

*B*
Density functional theory data (PBE) for an optimized crystal structure of Sc2Ge2C.

a = 6.487 Å, b = 6.487 Å, c = 4.030 Å
α = 90.00°, β = 90.00°, γ = 90.00°
Fractional coordinates of all 10 atoms:
Sc  0.173  0.327  0.000
Sc  0.327  0.827  0.000
Sc  0.673  0.173  0.000
Sc  0.827  0.673  0.000
Ge  0.139  0.639  0.500
Ge  0.361  0.139  0.500
Ge  0.639  0.861  0.500
Ge  0.861  0.361  0.500
C  0.000  0.000  0.500
C  0.500  0.500  0.500

Summary:
Density of states at the Fermi level in states/eV per atom: 0.4094
SG: P4/mbm, No. 127
Volume in Å³/f.u.: 84.8
Theoretical density in g/cm³: 4.84

Quick one: most stable of them? *A*